No. 1
# Pm2Y3Hg2 PBE relaxed
data_Pm2Y3Hg2
_chemical_formula_sum 'Pm6 Y9 Hg6'
_cell_length_a 5.4396
_cell_length_b 5.4396
_cell_length_c 24.0297
_cell_angle_alpha 90.00
_cell_angle_beta 90.00
_cell_angle_gamma 120.00
_space_group_name_H-M_alt 'R -3 m'
_space_group_IT_number 166
_space_group_name_Hall '-R 3 2"'
loop_
_atom_site_label
_atom_site_fract_x
_atom_site_fract_y
_atom_site_fract_z
Pm1 0.0000 0.0000 0.0762
Y1 0.0000 0.0000 0.3424
Y2 0.0000 0.0000 0.5000
Hg1 0.0000 0.0000 0.2145
# size of the total moment: 0.00 μB per cell
# energy of formation from the pure elements: -0.2377 eV/atom


No. 2
# Pm2YHg4 PBE relaxed
data_Pm2YHg4
_chemical_formula_sum 'Pm4 Y2 Hg8'
_cell_length_a 5.647
_cell_length_b 5.647
_cell_length_c 15.599
_cell_angle_alpha 90.00
_cell_angle_beta 90.00
_cell_angle_gamma 90.00
_space_group_name_H-M_alt 'I 4/m m m'
_space_group_IT_number 139
_space_group_name_Hall '-I 4 2'
loop_
_atom_site_label
_atom_site_fract_x
_atom_site_fract_y
_atom_site_fract_z
Pm1 0.000 0.000 0.105
Y1 0.000 0.000 0.500
Hg1 0.000 0.000 0.305
Hg2 0.000 0.500 0.000
# size of the total moment: 0.00 μB per cell
# energy of formation from the pure elements: -0.0229 eV/atom


No. 3
# Pm2YHg5 PBE relaxed
data_Pm2YHg5
_chemical_formula_sum 'Pm4 Y2 Hg10'
_cell_length_a 5.230
_cell_length_b 5.230
_cell_length_c 15.049
_cell_angle_alpha 90.00
_cell_angle_beta 90.00
_cell_angle_gamma 90.00
_space_group_name_H-M_alt 'I 4/m m m'
_space_group_IT_number 139
_space_group_name_Hall '-I 4 2'
loop_
_atom_site_label
_atom_site_fract_x
_atom_site_fract_y
_atom_site_fract_z
Pm1 0.000 0.000 0.235
Y1 0.000 0.000 0.500
Hg1 0.000 0.000 0.000
Hg2 0.000 0.500 0.120
# size of the total moment: 0.02 μB per cell
# energy of formation from the pure elements: -0.4235 eV/atom


No. 4
# PmY2Hg PBE relaxed
data_PmY2Hg
_chemical_formula_sum 'Pm4 Y8 Hg4'
_cell_length_a 7.710
_cell_length_b 7.710
_cell_length_c 7.710
_cell_angle_alpha 90.00
_cell_angle_beta 90.00
_cell_angle_gamma 90.00
_space_group_name_H-M_alt 'F m -3 m'
_space_group_IT_number 225
_space_group_name_Hall '-F 4 2 3'
loop_
_atom_site_label
_atom_site_fract_x
_atom_site_fract_y
_atom_site_fract_z
Pm1 0.000 0.000 0.000
Y1 0.250 0.250 0.250
Hg1 0.000 0.000 0.500
# size of the total moment: 4.74 μB per cell
# energy of formation from the pure elements: -0.0361 eV/atom


No. 5
# Pm2YHg PBE relaxed
data_Pm2YHg
_chemical_formula_sum 'Pm6 Y3 Hg3'
_cell_length_a 3.7069
_cell_length_b 3.7069
_cell_length_c 32.1537
_cell_angle_alpha 90.00
_cell_angle_beta 90.00
_cell_angle_gamma 120.00
_space_group_name_H-M_alt 'R 3 m'
_space_group_IT_number 160
_space_group_name_Hall 'R 3 -2"'
loop_
_atom_site_label
_atom_site_fract_x
_atom_site_fract_y
_atom_site_fract_z
Pm1 0.0000 0.0000 0.0000
Pm2 0.0000 0.0000 0.1798
Y1 0.0000 0.0000 0.4231
Hg1 0.0000 0.0000 0.5898
# size of the total moment: 0.00 μB per cell
# energy of formation from the pure elements: -0.1413 eV/atom


No. 6
# Pm4Y5Hg PBE relaxed
data_Pm4Y5Hg
_chemical_formula_sum 'Pm4 Y5 Hg1'
_cell_length_a 3.623
_cell_length_b 3.623
_cell_length_c 24.283
_cell_angle_alpha 90.00
_cell_angle_beta 90.00
_cell_angle_gamma 90.00
_space_group_name_H-M_alt 'P 4/m m m'
_space_group_IT_number 123
_space_group_name_Hall '-P 4 2'
loop_
_atom_site_label
_atom_site_fract_x
_atom_site_fract_y
_atom_site_fract_z
Pm1 0.000 0.000 0.104
Pm2 0.000 0.000 0.314
Y1 0.500 0.500 0.000
Y2 0.500 0.500 0.210
Y3 0.500 0.500 0.419
Hg1 0.000 0.000 0.500
# size of the total moment: 0.00 μB per cell
# energy of formation from the pure elements: -0.0872 eV/atom


No. 7
# Pm2YHg3 PBE relaxed
data_Pm2YHg3
_chemical_formula_sum 'Pm2 Y1 Hg3'
_cell_length_a 3.782
_cell_length_b 3.782
_cell_length_c 11.388
_cell_angle_alpha 90.00
_cell_angle_beta 90.00
_cell_angle_gamma 90.00
_space_group_name_H-M_alt 'P 4/m m m'
_space_group_IT_number 123
_space_group_name_Hall '-P 4 2'
loop_
_atom_site_label
_atom_site_fract_x
_atom_site_fract_y
_atom_site_fract_z
Pm1 0.000 0.000 0.169
Y1 0.000 0.000 0.500
Hg1 0.500 0.500 0.000
Hg2 0.500 0.500 0.342
# size of the total moment: 0.99 μB per cell
# energy of formation from the pure elements: -0.4831 eV/atom


No. 8
# Pm3YHg6 PBE relaxed
data_Pm3YHg6
_chemical_formula_sum 'Pm6 Y2 Hg12'
_cell_length_a 9.382
_cell_length_b 5.207
_cell_length_c 11.243
_cell_angle_alpha 90.00
_cell_angle_beta 106.10
_cell_angle_gamma 90.00
_space_group_name_H-M_alt 'P 1 21/m 1'
_space_group_IT_number 11
_space_group_name_Hall '-P 2yb'
loop_
_atom_site_label
_atom_site_fract_x
_atom_site_fract_y
_atom_site_fract_z
Pm1 0.011 0.250 0.386
Pm2 0.147 0.750 0.208
Pm3 0.273 0.250 0.992
Y1 0.439 0.250 0.608
Hg1 0.037 0.750 0.913
Hg2 0.161 0.250 0.702
Hg3 0.266 0.750 0.497
Hg4 0.346 0.250 0.313
Hg5 0.359 0.750 0.807
Hg6 0.439 0.750 0.109
# size of the total moment: 0.00 μB per cell
# energy of formation from the pure elements: -0.4383 eV/atom